Density functional theory data (PBE) for a relaxed structure of Ac6DyHo2.

Cell: 10.0232 12.6290 12.6290 Å, 44.01 46.67 46.67°
Fractional positions:
Ac 0.5936 0.6853 0.5531
Ac 0.9064 0.4469 0.3147
Ac 0.4064 0.3147 0.4469
Ac 0.0936 0.5531 0.6853
Ac 0.9208 0.9094 0.2930
Ac 0.5792 0.7070 0.0906
Ac 0.0792 0.0906 0.7070
Ac 0.4208 0.2930 0.9094
Ac 0.2545 0.6446 0.0854
Ac 0.2455 0.9146 0.3554
Ac 0.7455 0.3554 0.9146
Ac 0.7545 0.0854 0.6446
Dy 0.2500 0.1028 0.8972
Dy 0.7500 0.8972 0.1028
Ho 0.0863 0.7034 0.8606
Ho 0.4137 0.1394 0.2966
Ho 0.9137 0.2966 0.1394
Ho 0.5863 0.8606 0.7034

Values from the calculation:
Magnetization   0.000 μB/f.u.
Total DFT energy (no corrections)   -0.3013 Ry/atom
Calculated formation energy   0.168 eV per atom
Crystal system   monoclinic


Density functional theory data (PBE) for a relaxed structure of Ac4DyHo.

Cell: 5.8334 7.4360 11.2213 Å, 90.00 90.00 90.00°
Fractional positions:
Ac 0.0000 0.5000 0.6575
Ac 0.5000 0.5000 0.8430
Ac 0.0000 0.0000 0.3425
Ac 0.5000 0.5000 0.1570
Ac 0.5000 0.0000 0.1570
Ac 0.0000 0.0000 0.6575
Ac 0.5000 0.0000 0.8430
Ac 0.0000 0.5000 0.3425
Dy 0.5001 0.7500 0.5000
Dy 0.4999 0.2500 0.5000
Ho 0.0001 0.7500 0.0000
Ho 0.9999 0.2500 0.0000

Values from the calculation:
Offset from the most stable computed form   0 meV/atom
Magnetization   0.000 μB/f.u.
Total DFT energy (no corrections)   -0.3012 Ry/atom
Calculated formation energy   0.171 eV per atom
Crystal system   orthorhombic


Density functional theory data (PBE) for a relaxed structure of Ac2Dy7Ho3.

Cell: 3.5792 6.3920 18.1617 Å, 75.92 90.00 90.00°
Fractional positions:
Ac 0.5000 0.6156 0.3254
Ac 0.5000 0.3844 0.6746
Dy 0.5000 0.2387 0.5011
Dy 0.5000 0.7613 0.4989
Dy 0.0000 0.5626 0.1582
Dy 0.0000 0.0000 0.0000
Dy 0.0000 0.4374 0.8418
Dy 0.5000 0.9316 0.8368
Dy 0.5000 0.0684 0.1632
Ho 0.5000 0.5000 0.0000
Ho 0.0000 0.1097 0.3421
Ho 0.0000 0.8903 0.6579

Values from the calculation:
Magnetization   0.000 μB/f.u.
Total DFT energy (no corrections)   -0.3236 Ry/atom
Calculated formation energy   0.112 eV per atom
Crystal system   monoclinic


Density functional theory data (PBE) for a relaxed structure of AcDyHo.

Cell: 3.7162 3.7162 8.8894 Å, 90.00 90.00 120.00°
Fractional positions:
Ac 0.3333 0.6667 0.6671
Ho 0.0000 0.0000 0.0096
Dy 0.6667 0.3333 0.3233

Values from the calculation:
Offset from the most stable computed form   0 meV/atom
Magnetization   0.000 μB/f.u.
Total DFT energy (no corrections)   -0.3209 Ry/atom
Calculated formation energy   0.063 eV per atom
Crystal system   trigonal


Density functional theory data (PBE) for a relaxed structure of AcDy4Ho6.

Cell: 7.8623 7.8623 8.4181 Å, 117.84 117.84 90.00°
Fractional positions:
Ac 0.5000 0.5000 0.0000
Dy 0.0905 0.7644 0.8549
Dy 0.9095 0.9095 0.1451
Dy 0.7644 0.0905 0.8549
Dy 0.2356 0.2356 0.1451
Ho 0.9574 0.4249 0.3822
Ho 0.4249 0.9574 0.3822
Ho 0.5751 0.5751 0.6178
Ho 0.0000 0.5000 0.0000
Ho 0.0426 0.0426 0.6178
Ho 0.5000 0.0000 0.0000

Values from the calculation:
Offset from the most stable computed form   291 meV/atom
Magnetization   0.000 μB/f.u.
Total DFT energy (no corrections)   -0.3022 Ry/atom
Calculated formation energy   0.433 eV per atom
Crystal system   tetragonal


Density functional theory data (PBE) for a relaxed structure of AcDyHo4.

Cell: 9.8683 5.7013 7.0112 Å, 90.08 90.00 90.00°
Fractional positions:
Ac 0.5000 0.5000 0.0000
Ac 0.0000 0.0000 0.0000
Dy 0.0000 0.0000 0.5000
Dy 0.5000 0.5000 0.5000
Ho 0.8334 0.5005 0.2583
Ho 0.6666 0.0005 0.2583
Ho 0.1665 0.5007 0.2582
Ho 0.6665 0.9993 0.7418
Ho 0.3335 0.0007 0.2582
Ho 0.8335 0.4993 0.7418
Ho 0.3334 0.9995 0.7417
Ho 0.1666 0.4995 0.7417

Values from the calculation:
Offset from the most stable computed form   16 meV/atom
Magnetization   0.000 μB/f.u.
Total DFT energy (no corrections)   -0.3254 Ry/atom
Calculated formation energy   0.077 eV per atom
Crystal system   monoclinic


- The highest calculated formation energy belongs to which entry?
  AcDy4Ho6